A plane-wave DFT calculation with PBE was carried out for Tl3SiO after structural relaxation.

a b c (Å): 4.9880 4.9880 4.9880
angles (deg): 90.00 90.00 90.00
Atoms (fractional coordinates):
Tl1 0.0000 0.5000 0.0000
Tl2 0.0000 0.0000 0.5000
Tl3 0.5000 0.0000 0.0000
Si1 0.5000 0.5000 0.5000
O1 0.0000 0.0000 0.0000

Output
uncorrected energy: -3.258 eV/atom
E above lowest polymorph: 0.0000 eV/atom
energy relative to the elements, uncorrected: 0.24 eV per atom